Entry 1:
Entry from the Alexandria database: a relaxed PmMnFeSi2 crystal (GGA-PBE). Values from VASP.

Summary:
crystal system	tetragonal
formation energy (no corrections)	-0.6131	eV/atom
D(E_F)	1.864	states/eV/cell

Geometry as Quantum ESPRESSO input:
```
&SYSTEM
  ibrav = 0, nat = 5, ntyp = 4
/
ATOMIC_SPECIES
Pm 145.00 Pm.upf
Fe 55.84 Fe.upf
Si 28.09 Si.upf
Mn 54.94 Mn.upf
ATOMIC_POSITIONS crystal
Pm 0.000 0.000 0.000
Fe 0.750 0.250 0.500
Si 0.626 0.626 0.252
Si 0.374 0.374 0.748
Mn 0.250 0.750 0.500
CELL_PARAMETERS angstrom
-0.046 -3.878 0.711
2.048 -0.631 -3.310
3.388 2.686 3.932
```

---

Entry 2:
Entry from the Alexandria database: a relaxed PrMnFe crystal (GGA-PBE). Values from VASP.

Summary:
formation enthalpy at 0 K	0.21	eV/atom
crystal system	trigonal
D(E_F)	18.280	states/eV/cell

Geometry as Quantum ESPRESSO input:
```
&SYSTEM
  ibrav = 0, nat = 18, ntyp = 3
/
ATOMIC_SPECIES
Fe 55.84 Fe.upf
Mn 54.94 Mn.upf
Pr 140.91 Pr.upf
ATOMIC_POSITIONS crystal
Fe 0.286 0.286 0.668
Fe 0.239 0.714 0.332
Fe 0.286 0.761 0.668
Fe 0.761 0.286 0.668
Fe 0.714 0.239 0.332
Fe 0.714 0.714 0.332
Mn 0.000 0.500 0.000
Mn 0.612 0.612 0.163
Mn 0.388 0.388 0.837
Mn 0.500 0.000 0.000
Mn 0.500 0.500 0.500
Mn 0.500 0.500 0.000
Pr 0.041 0.041 0.876
Pr 0.959 0.959 0.124
Pr 0.264 0.264 0.208
Pr 0.736 0.736 0.792
Pr 0.819 0.819 0.543
Pr 0.181 0.181 0.457
CELL_PARAMETERS angstrom
5.267 0.000 0.000
2.634 4.562 0.000
2.634 1.521 13.163
```

---

Entry 3:
Entry from the Alexandria database: a relaxed PrMnFeSi2 crystal (GGA-PBE). Values from VASP.

Summary:
crystal system	tetragonal
formation energy (no corrections)	-0.5753	eV/atom
D(E_F)	1.867	states/eV/cell

Geometry as Quantum ESPRESSO input:
```
&SYSTEM
  ibrav = 0, nat = 5, ntyp = 4
/
ATOMIC_SPECIES
Si 28.09 Si.upf
Fe 55.84 Fe.upf
Pr 140.91 Pr.upf
Mn 54.94 Mn.upf
ATOMIC_POSITIONS crystal
Si 0.628 0.628 0.256
Si 0.372 0.372 0.744
Fe 0.750 0.250 0.500
Pr 0.000 0.000 0.000
Mn 0.250 0.750 0.500
CELL_PARAMETERS angstrom
-2.274 -2.704 1.825
0.440 -2.458 -3.094
5.130 0.538 2.856
```

---

Entry 4:
Entry from the Alexandria database: a relaxed Mn2FePt crystal (GGA-PBE). Values from VASP.

Summary:
formation enthalpy at 0 K	0.01	eV/atom
crystal system	orthorhombic
D(E_F)	4.264	states/eV/cell

Geometry as Quantum ESPRESSO input:
```
&SYSTEM
  ibrav = 0, nat = 4, ntyp = 3
/
ATOMIC_SPECIES
Fe 55.84 Fe.upf
Mn 54.94 Mn.upf
Pt 195.08 Pt.upf
ATOMIC_POSITIONS crystal
Fe 0.251 0.251 0.250
Mn 0.751 0.751 0.749
Mn 0.995 0.995 0.004
Pt 0.503 0.503 0.497
CELL_PARAMETERS angstrom
-1.527 -4.745 -0.723
0.520 -4.784 1.488
-2.926 -1.315 2.687
```

---

Entry 5:
Entry from the Alexandria database: a relaxed MnFePt3 crystal (GGA-PBE). Values from VASP.

Summary:
formation enthalpy at 0 K	-0.26	eV/atom
ΔE to the lowest computed polymorph	0	meV/atom
crystal system	monoclinic
D(E_F)	8.882	states/eV/cell

Geometry as Quantum ESPRESSO input:
```
&SYSTEM
  ibrav = 0, nat = 10, ntyp = 3
/
ATOMIC_SPECIES
Pt 195.08 Pt.upf
Fe 55.84 Fe.upf
Mn 54.94 Mn.upf
ATOMIC_POSITIONS crystal
Pt 0.260 0.844 0.198
Pt 0.762 0.344 0.194
Pt 0.649 0.844 0.420
Pt 0.455 0.844 0.808
Pt 0.151 0.344 0.416
Pt 0.956 0.345 0.806
Fe 0.351 0.344 0.016
Fe 0.060 0.844 0.598
Mn 0.854 0.845 0.010
Mn 0.557 0.344 0.605
CELL_PARAMETERS angstrom
-3.674 -2.869 0.096
0.981 -3.267 3.172
-4.826 2.566 5.091
```

---

Entry 6:
Entry from the Alexandria database: a relaxed MnFe4Pt15 crystal (GGA-PBE). Values from VASP.

Summary:
formation enthalpy at 0 K	-0.25	eV/atom
crystal system	tetragonal
D(E_F)	18.448	states/eV/cell

Geometry as Quantum ESPRESSO input:
```
&SYSTEM
  ibrav = 0, nat = 20, ntyp = 3
/
ATOMIC_SPECIES
Pt 195.08 Pt.upf
Fe 55.84 Fe.upf
Mn 54.94 Mn.upf
ATOMIC_POSITIONS crystal
Pt 0.500 0.000 0.102
Pt 0.000 0.500 0.898
Pt 0.500 0.000 0.301
Pt 0.500 0.500 0.400
Pt 0.000 0.500 0.699
Pt 0.000 0.500 0.500
Pt 0.500 0.000 0.500
Pt 0.500 0.000 0.898
Pt 0.500 0.500 0.600
Pt 0.000 0.500 0.102
Pt 0.500 0.500 0.000
Pt 0.500 0.500 0.799
Pt 0.000 0.500 0.301
Pt 0.500 0.500 0.201
Pt 0.500 0.000 0.699
Fe 0.000 0.000 0.800
Fe 0.000 0.000 0.600
Fe 0.000 0.000 0.400
Fe 0.000 0.000 0.200
Mn 0.000 0.000 0.000
CELL_PARAMETERS angstrom
3.917 0.000 0.000
0.000 3.917 0.000
0.000 0.000 19.623
```